Entry 1:
Computed, not measured: a relaxed structure of LiSmCu2 at the PBE level of DFT.

Geometry as POSCAR:
```
LiSmCu2
1.0
4.301 0.000 0.000
2.151 3.725 0.000
2.151 1.242 4.644
Cu Li Sm
2 1 1
Direct
0.206 0.206 0.382 Cu
0.794 0.794 0.618 Cu
0.500 0.500 0.500 Li
0.000 0.000 0.000 Sm
```

Computed properties:
final energy = -3.8227 eV per atom
crystal system = trigonal
E_form = -0.1164 eV/atom
polymorph energy (0 for the lowest one) = 0 meV/atom

---

Entry 2:
Computed, not measured: a relaxed structure of Li2SmCu at the PBE level of DFT.

Geometry as POSCAR:
```
Li2SmCu
1.0
3.283 0.000 0.000
0.000 3.283 0.000
0.000 0.000 7.263
Li Sm Cu
2 1 1
Direct
0.000 0.000 0.176 Li
0.000 0.000 0.824 Li
0.500 0.500 0.500 Sm
0.500 0.500 0.000 Cu
```

Computed properties:
final energy = -3.0449 eV per atom
crystal system = tetragonal
E_form = 0.1159 eV/atom
polymorph energy (0 for the lowest one) = 0 meV/atom

---

Entry 3:
Computed, not measured: a relaxed structure of LiSm2Cu9 at the PBE level of DFT.

Geometry as POSCAR:
```
LiSm2Cu9
1.0
5.130 0.000 0.000
2.565 4.442 0.000
2.565 1.481 8.319
Cu Li Sm
9 1 2
Direct
0.500 0.500 0.500 Cu
0.580 0.580 0.760 Cu
0.580 0.079 0.760 Cu
0.420 0.420 0.240 Cu
0.921 0.420 0.240 Cu
0.333 0.333 0.001 Cu
0.420 0.921 0.240 Cu
0.079 0.580 0.760 Cu
0.667 0.667 0.999 Cu
0.000 0.000 0.000 Li
0.136 0.136 0.593 Sm
0.864 0.864 0.407 Sm
```

Computed properties:
final energy = -4.0952 eV per atom
crystal system = trigonal
E_form = -0.0770 eV/atom

---

Entry 4:
Computed, not measured: a relaxed structure of LiSmCuSn at the PBE level of DFT.

Geometry as POSCAR:
```
LiSmCuSn
1.0
-0.618 -3.213 3.484
1.757 -4.418 -0.485
3.724 -1.395 2.652
Li Sn Cu Sm
1 1 1 1
Direct
0.000 0.000 0.000 Li
0.250 0.250 0.250 Sn
0.500 0.500 0.500 Cu
0.750 0.750 0.750 Sm
```

Computed properties:
final energy = -4.1077 eV per atom
crystal system = cubic
E_form = -0.4247 eV/atom

---

Entry 5:
Computed, not measured: a relaxed structure of SrLiSmCu at the PBE level of DFT.

Geometry as POSCAR:
```
SrLiSmCu
1.0
-2.058 4.862 0.575
-4.584 0.652 2.600
-0.037 2.319 4.777
Sm Li Cu Sr
1 1 1 1
Direct
0.750 0.750 0.750 Sm
0.500 0.500 0.500 Li
0.000 0.000 0.000 Cu
0.250 0.250 0.250 Sr
```

Computed properties:
final energy = -3.0144 eV per atom
crystal system = cubic
E_form = 0.0884 eV/atom

---

Entry 6:
Computed, not measured: a relaxed structure of LiTbSmCu at the PBE level of DFT.

Geometry as POSCAR:
```
LiTbSmCu
1.0
5.089 0.000 0.000
2.545 4.408 0.000
2.545 1.469 4.156
Cu Tb Li Sm
1 1 1 1
Direct
0.250 0.250 0.250 Cu
0.000 0.000 0.000 Tb
0.750 0.750 0.750 Li
0.500 0.500 0.500 Sm
```

Computed properties:
final energy = -3.8507 eV per atom
crystal system = cubic
E_form = -0.0109 eV/atom

---

Entry 7:
Computed, not measured: a relaxed structure of LiSmTlCu at the PBE level of DFT.

Geometry as POSCAR:
```
LiSmTlCu
1.0
4.819 0.000 0.000
2.410 4.174 0.000
2.410 1.391 3.935
Tl Cu Li Sm
1 1 1 1
Direct
0.500 0.500 0.500 Tl
0.250 0.250 0.250 Cu
0.750 0.750 0.750 Li
0.000 0.000 0.000 Sm
```

Computed properties:
final energy = -3.5329 eV per atom
crystal system = cubic
E_form = -0.2591 eV/atom

---

Entry 8:
Computed, not measured: a relaxed structure of LiSmTmCu at the PBE level of DFT.

Geometry as POSCAR:
```
LiSmTmCu
1.0
5.043 0.000 0.000
2.522 4.368 0.000
2.522 1.456 4.118
Li Tm Cu Sm
1 1 1 1
Direct
0.750 0.750 0.750 Li
0.500 0.500 0.500 Tm
0.250 0.250 0.250 Cu
0.000 0.000 0.000 Sm
```

Computed properties:
final energy = -3.8248 eV per atom
crystal system = cubic
E_form = -0.0246 eV/atom

---

Entry 9:
Computed, not measured: a relaxed structure of LiSmYCu at the PBE level of DFT.

Geometry as POSCAR:
```
LiSmYCu
1.0
-2.374 3.940 -2.183
-5.081 0.058 -0.307
-2.685 3.252 2.852
Sm Y Li Cu
1 1 1 1
Direct
0.000 0.000 0.000 Sm
0.500 0.500 0.500 Y
0.250 0.250 0.250 Li
0.750 0.750 0.750 Cu
```

Computed properties:
final energy = -4.3179 eV per atom
crystal system = cubic
E_form = -0.0196 eV/atom

---

Entry 10:
Computed, not measured: a relaxed structure of LiSm2Zn2Cu5 at the PBE level of DFT.

Geometry as POSCAR:
```
LiSm2Zn2Cu5
1.0
-2.232 -2.400 1.555
6.373 -7.173 -1.923
4.347 1.549 8.629
Zn Li Cu Sm
4 2 10 4
Direct
0.000 0.381 0.119 Zn
0.000 0.619 0.881 Zn
0.000 0.881 0.381 Zn
0.000 0.119 0.619 Zn
0.000 0.500 0.500 Li
0.000 0.000 0.000 Li
0.500 0.800 0.949 Cu
0.500 0.449 0.300 Cu
0.500 0.551 0.700 Cu
0.500 0.500 0.000 Cu
0.500 0.949 0.200 Cu
0.500 0.051 0.800 Cu
0.500 0.700 0.449 Cu
0.500 0.000 0.500 Cu
0.500 0.200 0.051 Cu
0.500 0.300 0.551 Cu
0.000 0.179 0.321 Sm
0.000 0.321 0.821 Sm
0.000 0.679 0.179 Sm
0.000 0.821 0.679 Sm
```

Computed properties:
final energy = -3.5033 eV per atom
crystal system = tetragonal
E_form = -0.0652 eV/atom

---

Entry 11:
Computed, not measured: a relaxed structure of Li3Sm2ZnCu12 at the PBE level of DFT.

Geometry as POSCAR:
```
Li3Sm2ZnCu12
1.0
-3.353 -4.633 -3.141
-0.030 -4.348 4.865
-5.871 1.562 2.381
Cu Li Zn Sm
12 3 1 2
Direct
0.201 0.733 0.201 Cu
0.799 0.267 0.799 Cu
0.150 0.575 0.575 Cu
0.850 0.425 0.425 Cu
0.201 0.201 0.733 Cu
0.575 0.575 0.150 Cu
0.267 0.799 0.799 Cu
0.425 0.850 0.425 Cu
0.575 0.150 0.575 Cu
0.799 0.799 0.267 Cu
0.425 0.425 0.850 Cu
0.733 0.201 0.201 Cu
0.500 0.000 0.000 Li
0.000 0.500 0.000 Li
0.000 0.000 0.500 Li
0.000 0.000 0.000 Zn
0.718 0.718 0.718 Sm
0.282 0.282 0.282 Sm
```

Computed properties:
final energy = -3.6133 eV per atom
crystal system = trigonal
E_form = 0.0316 eV/atom

---

Entry 12:
Computed, not measured: a relaxed structure of LiSm2Zn12Cu3 at the PBE level of DFT.

Geometry as POSCAR:
```
LiSm2Zn12Cu3
1.0
6.462 -1.580 -1.120
1.818 6.399 -1.120
1.818 1.058 6.410
Sm Zn Cu Li
2 12 3 1
Direct
0.248 0.248 0.248 Sm
0.752 0.752 0.752 Sm
0.804 0.273 0.804 Zn
0.434 0.434 0.839 Zn
0.161 0.566 0.566 Zn
0.804 0.804 0.273 Zn
0.727 0.196 0.196 Zn
0.273 0.804 0.804 Zn
0.434 0.839 0.434 Zn
0.196 0.727 0.196 Zn
0.839 0.434 0.434 Zn
0.196 0.196 0.727 Zn
0.566 0.566 0.161 Zn
0.566 0.161 0.566 Zn
0.500 0.000 0.000 Cu
0.000 0.500 0.000 Cu
0.000 0.000 0.500 Cu
0.000 0.000 0.000 Li
```

Computed properties:
final energy = -2.1850 eV per atom
crystal system = trigonal
E_form = -0.0224 eV/atom

---

Entry 13:
Computed, not measured: a relaxed structure of LiSmZn6Cu at the PBE level of DFT.

Geometry as POSCAR:
```
LiSmZn6Cu
1.0
-4.225 -5.322 0.614
3.970 -2.349 6.957
-3.473 7.056 -0.644
Sm Zn Cu Li
2 12 2 2
Direct
0.298 0.548 0.596 Sm
0.702 0.452 0.404 Sm
0.310 0.615 0.238 Zn
0.001 0.751 0.003 Zn
0.928 0.124 0.238 Zn
0.072 0.876 0.762 Zn
0.690 0.876 0.762 Zn
0.999 0.249 0.997 Zn
0.072 0.385 0.762 Zn
0.690 0.385 0.762 Zn
0.586 0.836 0.173 Zn
0.928 0.615 0.238 Zn
0.414 0.164 0.827 Zn
0.310 0.124 0.238 Zn
0.500 0.500 0.000 Cu
0.500 0.000 0.000 Cu
0.500 0.000 0.500 Li
0.000 0.000 0.500 Li
```

Computed properties:
final energy = -2.0601 eV per atom
crystal system = orthorhombic
E_form = -0.0187 eV/atom

---

Entry 14:
Computed, not measured: a relaxed structure of Li4CuSn at the PBE level of DFT.

Geometry as POSCAR:
```
Li4CuSn
1.0
4.569 -0.002 0.000
0.001 4.988 1.801
-0.001 -0.206 8.319
Li Cu Sn
8 2 2
Direct
0.250 0.456 0.086 Li
0.750 0.042 0.914 Li
0.250 0.958 0.086 Li
0.250 0.292 0.418 Li
0.750 0.708 0.582 Li
0.750 0.544 0.914 Li
0.750 0.210 0.582 Li
0.250 0.790 0.418 Li
0.750 0.117 0.266 Cu
0.250 0.883 0.734 Cu
0.750 0.628 0.242 Sn
0.250 0.372 0.758 Sn
```

Computed properties:
final energy = -2.8713 eV per atom
crystal system = monoclinic
E_form = -0.2456 eV/atom
polymorph energy (0 for the lowest one) = 0 meV/atom

---

Entry 15:
Computed, not measured: a relaxed structure of Li3Cu4Sn4 at the PBE level of DFT.

Geometry as POSCAR:
```
Li3Cu4Sn4
1.0
-1.952 3.866 0.806
-5.237 -1.618 -4.922
0.033 -3.903 6.761
Sn Cu Li
4 4 3
Direct
0.500 0.196 0.000 Sn
0.500 0.804 0.000 Sn
0.233 0.733 0.467 Sn
0.767 0.267 0.533 Sn
0.315 0.141 0.630 Cu
0.315 0.489 0.630 Cu
0.685 0.511 0.370 Cu
0.685 0.859 0.370 Cu
0.000 0.500 0.000 Li
0.118 0.118 0.235 Li
0.882 0.882 0.765 Li
```

Computed properties:
final energy = -3.5674 eV per atom
crystal system = orthorhombic
E_form = -0.1004 eV/atom

---

Entry 16:
Computed, not measured: a relaxed structure of Li3Cu2Sn2 at the PBE level of DFT.

Geometry as POSCAR:
```
Li3Cu2Sn2
1.0
4.281 -0.028 -1.380
-2.347 3.838 -0.003
-0.122 -0.015 7.078
Cu Sn Li
2 2 3
Direct
0.447 0.727 0.174 Cu
0.553 0.273 0.826 Cu
0.832 0.419 0.251 Sn
0.168 0.581 0.749 Sn
0.000 0.000 0.000 Li
0.713 0.856 0.568 Li
0.287 0.144 0.432 Li
```

Computed properties:
final energy = -3.4194 eV per atom
crystal system = monoclinic
E_form = -0.2852 eV/atom
polymorph energy (0 for the lowest one) = 0 meV/atom

---

Entry 17:
Computed, not measured: a relaxed structure of Li4CuSn at the PBE level of DFT.

Geometry as POSCAR:
```
Li4CuSn
1.0
-4.778 -0.786 0.060
0.368 -2.694 -5.969
3.242 -4.248 5.721
Cu Li Sn
2 8 2
Direct
0.745 0.500 0.000 Cu
0.255 0.500 0.000 Cu
0.179 0.679 0.359 Li
0.821 0.321 0.641 Li
0.633 0.895 0.266 Li
0.000 0.818 0.000 Li
0.367 0.105 0.734 Li
0.633 0.371 0.266 Li
0.000 0.182 0.000 Li
0.367 0.629 0.734 Li
0.191 0.193 0.386 Sn
0.809 0.807 0.614 Sn
```

Computed properties:
final energy = -2.8218 eV per atom
crystal system = monoclinic
E_form = -0.1960 eV/atom
polymorph energy (0 for the lowest one) = 50 meV/atom

---

Entry 18:
Computed, not measured: a relaxed structure of Li6CuSn at the PBE level of DFT.

Geometry as POSCAR:
```
Li6CuSn
1.0
-3.535 2.968 1.151
-3.554 -2.865 -3.527
0.465 -1.590 5.526
Cu Li Sn
1 6 1
Direct
0.000 0.083 0.917 Cu
0.500 0.405 0.078 Li
0.500 0.922 0.078 Li
0.000 0.098 0.423 Li
0.000 0.577 0.902 Li
0.000 0.576 0.424 Li
0.500 0.922 0.595 Li
0.500 0.417 0.583 Sn
```

Computed properties:
final energy = -2.6132 eV per atom
crystal system = orthorhombic
E_form = -0.1654 eV/atom

---

Entry 19:
Computed, not measured: a relaxed structure of Li2Cu2Sn at the PBE level of DFT.

Geometry as POSCAR:
```
Li2Cu2Sn
1.0
-2.037 -5.051 -4.548
6.216 0.534 -3.378
1.162 -2.095 1.806
Li Sn Cu
4 2 4
Direct
0.863 0.637 0.000 Li
0.363 0.863 0.000 Li
0.137 0.363 0.000 Li
0.637 0.137 0.000 Li
0.000 0.000 0.000 Sn
0.500 0.500 0.000 Sn
0.650 0.850 0.500 Cu
0.150 0.650 0.500 Cu
0.350 0.150 0.500 Cu
0.850 0.350 0.500 Cu
```

Computed properties:
final energy = -3.2078 eV per atom
crystal system = tetragonal
E_form = -0.0032 eV/atom
polymorph energy (0 for the lowest one) = 205 meV/atom

---

Entry 20:
Computed, not measured: a relaxed structure of Li2CuSn2 at the PBE level of DFT.

Geometry as POSCAR:
```
Li2CuSn2
1.0
5.483 0.000 0.000
0.000 5.961 0.000
-2.741 -2.980 5.998
Li Cu Sn
4 2 4
Direct
0.089 0.251 0.177 Li
0.911 0.749 0.823 Li
0.589 0.926 0.177 Li
0.411 0.074 0.823 Li
0.250 0.500 0.000 Cu
0.750 0.500 0.000 Cu
0.328 0.505 0.656 Sn
0.672 0.495 0.344 Sn
0.172 0.849 0.344 Sn
0.828 0.151 0.656 Sn
```

Computed properties:
final energy = -3.3536 eV per atom
crystal system = orthorhombic
E_form = -0.1677 eV/atom